Entry 1:
The following is a DFT calculation (GGA-PBE) of an optimized crystal structure of La3TbNd4.

abc: 3.570 12.006 13.404
angles: 90.00 90.00 90.00
Space group Immm (No. 71)
One atom of each set of equivalent atoms:
La: 0.000 0.000 0.000 x2
La: 0.000 0.500 0.240 x4
Tb: 0.000 0.000 0.500 x2
Nd: 0.000 0.247 0.367 x8

Results
N(E_F) = 1.58 states/eV/atom
ΔE_f = 0.8 eV/f.u.
relative energy among the computed polymorphs = 106 meV/atom


Entry 2:
The following is a DFT calculation (GGA-PBE) of an optimized crystal structure of LaTb4Nd2.

abc: 3.6254 3.6254 61.7429
angles: 90.00 90.00 120.00
Space group R-3m (No. 166, hexagonal axes)
One atom of each set of equivalent atoms:
La: 0.0000 0.0000 0.0000 x3
Tb: 0.0000 0.0000 0.1434 x6
Tb: 0.0000 0.0000 0.2852 x6
Nd: 0.0000 0.0000 0.4289 x6

Results
N(E_F) = 1.16 states/eV/atom
ΔE_f = 0.1 eV/f.u.
relative energy among the computed polymorphs = 0 meV/atom


Entry 3:
The following is a DFT calculation (GGA-PBE) of an optimized crystal structure of La6TbNd3.

abc: 10.994 19.656 6.646
angles: 90.00 90.00 90.00
Space group Cmc2_1 (No. 36)
One atom of each set of equivalent atoms:
La: 0.000 0.031 0.000 x4
La: 0.000 0.282 0.807 x4
La: 0.173 0.460 0.703 x8
La: 0.223 0.293 0.518 x8
Tb: 0.000 0.187 0.253 x4
Nd: 0.000 0.384 0.228 x4
Nd: 0.176 0.119 0.610 x8

Results
N(E_F) = 1.38 states/eV/atom
ΔE_f = 1.1 eV/f.u.
relative energy among the computed polymorphs = 0 meV/atom


- Which formula does entry 2 have?
  LaTb4Nd2